Record 1
# Ca2GeHPt6

An optimized crystal structure of Ca2GeHPt6 (PBE-GGA, Alexandria).

Density of states at the Fermi level in states/eV/cell: 2.618
Total energy in eV per cell: -54.634

Unit cell a=5.685 b=5.685 c=6.910 alpha=114.11 beta=114.11 gamma=59.97
Fractional positions:
Ca 0.215 0.215 0.145
Ca 0.785 0.785 0.855
Ge 0.500 0.500 0.000
H 0.000 0.000 0.500
Pt 0.231 0.725 0.688
Pt 0.232 0.232 0.688
Pt 0.275 0.769 0.312
Pt 0.725 0.231 0.688
Pt 0.768 0.768 0.312
Pt 0.769 0.275 0.312


Record 2
# BaLiN2

An optimized crystal structure of BaLiN2 (PBE-GGA, Alexandria).

Density of states at the Fermi level in states/eV/cell: 0.976
Total energy in eV per cell: -17.754
Uncorrected formation energy in meV per atom: 683

Unit cell a=7.001 b=7.001 c=7.001 alpha=34.19 beta=34.19 gamma=34.19
Fractional positions:
Ba 0.000 0.000 0.000
Li 0.500 0.500 0.500
N 0.403 0.403 0.403
N 0.597 0.597 0.597


Record 3
# GdP2Ru

An optimized crystal structure of GdP2Ru (PBE-GGA, Alexandria).

Density of states at the Fermi level in states/eV/cell: 2.387
Total energy in eV per cell: -37.951

Unit cell a=5.414 b=5.414 c=5.414 alpha=43.61 beta=43.61 gamma=43.61
Fractional positions:
Gd 0.000 0.000 0.000
P 0.219 0.219 0.219
P 0.781 0.781 0.781
Ru 0.500 0.500 0.500


Record 4
# Pu2CdCl8

An optimized crystal structure of Pu2CdCl8 (PBE-GGA, Alexandria).

Density of states at the Fermi level in states/eV/cell: 23.636
Total energy in eV per cell: -61.428
Uncorrected formation energy in meV per atom: -1552

Unit cell a=7.437 b=7.437 c=8.723 alpha=96.50 beta=96.50 gamma=52.51
Fractional positions:
Pu 0.135 0.135 0.387
Pu 0.865 0.865 0.613
Cd 0.000 0.000 0.000
Cl 0.074 0.074 0.680
Cl 0.131 0.623 0.854
Cl 0.330 0.330 0.487
Cl 0.377 0.869 0.146
Cl 0.623 0.131 0.854
Cl 0.670 0.670 0.513
Cl 0.869 0.377 0.146
Cl 0.926 0.926 0.320


Record 5
# CuGePb2O

An optimized crystal structure of CuGePb2O (PBE-GGA, Alexandria).

Density of states at the Fermi level in states/eV/cell: 2.230
Total energy in eV per cell: -20.935
Uncorrected formation energy in meV per atom: 31

Unit cell a=5.155 b=5.155 c=4.153 alpha=90.00 beta=90.00 gamma=90.00
Fractional positions:
Cu 0.000 0.000 0.000
Ge 0.500 0.500 0.000
Pb 0.000 0.500 0.500
Pb 0.500 0.000 0.500
O 0.500 0.500 0.500


Record 6
# Zr8CS2

An optimized crystal structure of Zr8CS2 (PBE-GGA, Alexandria).

Density of states at the Fermi level in states/eV/cell: 9.168
Total energy in eV per cell: -93.809
Uncorrected formation energy in meV per atom: -722

Unit cell a=7.698 b=7.698 c=8.505 alpha=98.63 beta=98.63 gamma=25.20
Fractional positions:
Zr 0.014 0.014 0.192
Zr 0.215 0.215 0.327
Zr 0.346 0.346 0.985
Zr 0.407 0.407 0.450
Zr 0.593 0.593 0.550
Zr 0.654 0.654 0.015
Zr 0.785 0.785 0.673
Zr 0.986 0.986 0.808
C 0.500 0.500 0.000
S 0.170 0.170 0.782
S 0.830 0.830 0.218


Record 7
# NaMo2H

An optimized crystal structure of NaMo2H (PBE-GGA, Alexandria).

Density of states at the Fermi level in states/eV/cell: 4.876
Total energy in eV per cell: -18.935

Unit cell a=4.276 b=4.276 c=4.276 alpha=60.00 beta=60.00 gamma=60.00
Fractional positions:
Na 0.000 0.000 0.000
Mo 0.250 0.250 0.250
Mo 0.750 0.750 0.750
H 0.500 0.500 0.500


Record 8
# Li2Cd2Ag5

An optimized crystal structure of Li2Cd2Ag5 (PBE-GGA, Alexandria).

Density of states at the Fermi level in states/eV/cell: 2.375
Total energy in eV per cell: -21.142

Unit cell a=3.966 b=6.641 c=6.792 alpha=71.22 beta=73.29 gamma=89.66
Fractional positions:
Li 0.165 0.499 0.169
Li 0.835 0.501 0.831
Cd 0.058 0.835 0.382
Cd 0.942 0.165 0.618
Ag 0.278 0.180 0.944
Ag 0.383 0.812 0.734
Ag 0.500 0.500 0.500
Ag 0.617 0.188 0.266
Ag 0.722 0.820 0.056


Record 9
# Pr2ThGa

An optimized crystal structure of Pr2ThGa (PBE-GGA, Alexandria).

Density of states at the Fermi level in states/eV/cell: 2.226
Total energy in eV per cell: -20.922

Unit cell a=3.645 b=3.645 c=8.931 alpha=90.00 beta=90.00 gamma=90.00
Fractional positions:
Pr 0.000 0.000 0.218
Pr 0.000 0.000 0.782
Th 0.500 0.500 0.500
Ga 0.500 0.500 0.000


Record 10
# PmThIn4

An optimized crystal structure of PmThIn4 (PBE-GGA, Alexandria).

Density of states at the Fermi level in states/eV/cell: 3.473
Total energy in eV per cell: -25.046

Unit cell a=6.078 b=6.078 c=6.078 alpha=60.00 beta=60.00 gamma=60.00
Fractional positions:
Pm 0.000 0.000 0.000
Th 0.750 0.750 0.750
In 0.375 0.375 0.375
In 0.375 0.375 0.875
In 0.375 0.875 0.375
In 0.875 0.375 0.375


Record 11
# Pr5MgPb5

An optimized crystal structure of Pr5MgPb5 (PBE-GGA, Alexandria).

Density of states at the Fermi level in states/eV/cell: 10.037
Total energy in eV per cell: -46.961

Unit cell a=9.686 b=9.686 c=7.099 alpha=107.68 beta=107.68 gamma=35.57
Fractional positions:
Pr 0.000 0.000 0.000
Pr 0.324 0.324 0.257
Pr 0.325 0.325 0.760
Pr 0.675 0.675 0.240
Pr 0.676 0.676 0.743
Mg 0.000 0.000 0.500
Pb 0.156 0.156 0.424
Pb 0.158 0.158 0.912
Pb 0.500 0.500 0.500
Pb 0.842 0.842 0.088
Pb 0.844 0.844 0.576


Record 12
# LiThOsO6

An optimized crystal structure of LiThOsO6 (PBE-GGA, Alexandria).

Density of states at the Fermi level in states/eV/cell: 7.739
Total energy in eV per cell: -136.373
Uncorrected formation energy in meV per atom: -1986

Unit cell a=5.004 b=5.004 c=9.841 alpha=90.00 beta=90.00 gamma=90.00
Fractional positions:
Li 0.000 0.000 0.000
Li 0.500 0.500 0.500
Th 0.000 0.000 0.348
Th 0.500 0.500 0.848
Os 0.000 0.000 0.682
Os 0.500 0.500 0.182
O 0.183 0.183 0.829
O 0.188 0.188 0.543
O 0.236 0.236 0.183
O 0.264 0.736 0.683
O 0.312 0.688 0.043
O 0.317 0.683 0.329
O 0.683 0.317 0.329
O 0.688 0.312 0.043
O 0.736 0.264 0.683
O 0.764 0.764 0.183
O 0.812 0.812 0.543
O 0.817 0.817 0.829


Record 13
# Pa2IrRu

An optimized crystal structure of Pa2IrRu (PBE-GGA, Alexandria).

Density of states at the Fermi level in states/eV/cell: 2.402
Total energy in eV per cell: -39.835

Unit cell a=6.899 b=6.899 c=6.899 alpha=33.40 beta=33.40 gamma=33.40
Fractional positions:
Pa 0.248 0.248 0.248
Pa 0.752 0.752 0.752
Ir 0.000 0.000 0.000
Ru 0.500 0.500 0.500


Record 14
# LaPmDyAg

An optimized crystal structure of LaPmDyAg (PBE-GGA, Alexandria).

Density of states at the Fermi level in states/eV/cell: 5.850
Total energy in eV per cell: -17.610

Unit cell a=3.702 b=3.702 c=8.732 alpha=90.00 beta=90.00 gamma=90.00
Fractional positions:
La 0.000 0.000 0.000
Pm 0.500 0.500 0.704
Dy 0.500 0.500 0.290
Ag 0.000 0.000 0.484


Record 15
# Ho2AlS4

An optimized crystal structure of Ho2AlS4 (PBE-GGA, Alexandria).

Density of states at the Fermi level in states/eV/cell: 3.120
Total energy in eV per cell: -40.453
Uncorrected formation energy in meV per atom: -1578

Unit cell a=6.952 b=6.952 c=6.815 alpha=118.15 beta=118.15 gamma=31.74
Fractional positions:
Ho 0.223 0.223 0.211
Ho 0.777 0.777 0.789
Al 0.500 0.500 0.500
S 0.123 0.123 0.482
S 0.390 0.390 0.092
S 0.610 0.610 0.908
S 0.877 0.877 0.518


Record 16
# YOs3S

An optimized crystal structure of YOs3S (PBE-GGA, Alexandria).

Density of states at the Fermi level in states/eV/cell: 3.504
Total energy in eV per cell: -42.135
Uncorrected formation energy in meV per atom: 429

Unit cell a=4.432 b=4.432 c=4.432 alpha=90.00 beta=90.00 gamma=90.00
Fractional positions:
Y 0.000 0.000 0.000
Os 0.000 0.500 0.500
Os 0.500 0.000 0.500
Os 0.500 0.500 0.000
S 0.500 0.500 0.500


Record 17
# Ba3Ho2ThBi6

An optimized crystal structure of Ba3Ho2ThBi6 (PBE-GGA, Alexandria).

Density of states at the Fermi level in states/eV/cell: 9.830
Total energy in eV per cell: -54.886

Unit cell a=8.161 b=8.161 c=8.552 alpha=99.15 beta=99.15 gamma=120.04
Fractional positions:
Ba 0.000 0.000 0.000
Ba 0.335 0.665 0.000
Ba 0.665 0.335 0.000
Ho 0.167 0.833 0.500
Ho 0.833 0.167 0.500
Th 0.500 0.500 0.500
Bi 0.091 0.429 0.286
Bi 0.233 0.233 0.713
Bi 0.429 0.091 0.286
Bi 0.571 0.909 0.714
Bi 0.767 0.767 0.287
Bi 0.909 0.571 0.714


Record 18
# Sc4Al3Au

An optimized crystal structure of Sc4Al3Au (PBE-GGA, Alexandria).

Density of states at the Fermi level in states/eV/cell: 4.892
Total energy in eV per cell: -44.076

Unit cell a=3.403 b=3.403 c=13.450 alpha=90.00 beta=90.00 gamma=90.00
Fractional positions:
Sc 0.000 0.000 0.124
Sc 0.000 0.000 0.376
Sc 0.000 0.000 0.624
Sc 0.000 0.000 0.876
Al 0.500 0.500 0.000
Al 0.500 0.500 0.248
Al 0.500 0.500 0.752
Au 0.500 0.500 0.500


Record 19
# LiMoAu

An optimized crystal structure of LiMoAu (PBE-GGA, Alexandria).

Density of states at the Fermi level in states/eV/cell: 3.688
Total energy in eV per cell: -63.947

Unit cell a=5.818 b=3.714 c=8.662 alpha=90.00 beta=90.00 gamma=90.00
Fractional positions:
Li 0.147 0.250 0.241
Li 0.353 0.750 0.741
Li 0.647 0.250 0.259
Li 0.853 0.750 0.759
Mo 0.103 0.250 0.564
Mo 0.397 0.750 0.064
Mo 0.603 0.250 0.936
Mo 0.897 0.750 0.436
Au 0.108 0.250 0.893
Au 0.392 0.750 0.393
Au 0.608 0.250 0.607
Au 0.892 0.750 0.107


Record 20
# CaY

An optimized crystal structure of CaY (PBE-GGA, Alexandria).

Density of states at the Fermi level in states/eV/cell: 3.428
Total energy in eV per cell: -8.129

Unit cell a=3.657 b=3.657 c=5.447 alpha=90.00 beta=90.00 gamma=90.00
Fractional positions:
Ca 0.000 0.000 0.000
Y 0.500 0.500 0.500


Record 21
# ScSnF

An optimized crystal structure of ScSnF (PBE-GGA, Alexandria).

Density of states at the Fermi level in states/eV/cell: 2.127
Total energy in eV per cell: -35.387
Uncorrected formation energy in meV per atom: -1829

Unit cell a=7.459 b=7.459 c=4.988 alpha=99.11 beta=99.11 gamma=25.22
Fractional positions:
Sc 0.139 0.139 0.378
Sc 0.861 0.861 0.622
Sn 0.441 0.441 0.206
Sn 0.559 0.559 0.794
F 0.268 0.268 0.696
F 0.732 0.732 0.304


Record 22
# NaCr2H

An optimized crystal structure of NaCr2H (PBE-GGA, Alexandria).

Density of states at the Fermi level in states/eV/cell: 1.205
Total energy in eV per cell: -18.150

Unit cell a=4.619 b=4.619 c=4.619 alpha=60.00 beta=60.00 gamma=60.00
Fractional positions:
Na 0.000 0.000 0.000
Cr 0.250 0.250 0.250
Cr 0.750 0.750 0.750
H 0.500 0.500 0.500


Record 23
# Nd2MgSb3Pd4

An optimized crystal structure of Nd2MgSb3Pd4 (PBE-GGA, Alexandria).

Density of states at the Fermi level in states/eV/cell: 4.845
Total energy in eV per cell: -52.876
Uncorrected formation energy in meV per atom: -861

Unit cell a=4.454 b=4.454 c=11.158 alpha=90.00 beta=90.00 gamma=90.00
Fractional positions:
Nd 0.000 0.500 0.234
Nd 0.500 0.000 0.766
Mg 0.000 0.000 0.500
Sb 0.000 0.500 0.864
Sb 0.500 0.000 0.136
Sb 0.500 0.500 0.500
Pd 0.000 0.000 0.000
Pd 0.000 0.500 0.633
Pd 0.500 0.000 0.367
Pd 0.500 0.500 0.000


Record 24
# TbGdTm

An optimized crystal structure of TbGdTm (PBE-GGA, Alexandria).

Density of states at the Fermi level in states/eV/cell: 4.695
Total energy in eV per cell: -23.112

Unit cell a=7.913 b=7.913 c=7.913 alpha=154.09 beta=154.09 gamma=36.96
Fractional positions:
Tb 0.000 0.000 0.000
Gd 0.331 0.331 0.000
Tm 0.663 0.663 0.000


Record 25
# Pm4TeC

An optimized crystal structure of Pm4TeC (PBE-GGA, Alexandria).

Density of states at the Fermi level in states/eV/cell: 12.140
Total energy in eV per cell: -68.132
Uncorrected formation energy in meV per atom: -450

Unit cell a=8.809 b=8.809 c=6.357 alpha=110.35 beta=110.35 gamma=112.68
Fractional positions:
Pm 0.053 0.667 0.888
Pm 0.157 0.252 0.650
Pm 0.252 0.157 0.150
Pm 0.333 0.947 0.612
Pm 0.667 0.053 0.388
Pm 0.748 0.843 0.850
Pm 0.843 0.748 0.350
Pm 0.947 0.333 0.112
Te 0.378 0.622 0.250
Te 0.622 0.378 0.750
C 0.073 0.927 0.250
C 0.927 0.073 0.750


For each record above, in turn, the calculated calculated density values are 12.9 3.0 7.8 3.9 8.5 6.3 6.5 8.0 8.2 8.7 8.0 7.1 14.2 7.7 5.3 13.2 7.9 4.9 10.6 2.9 5.2 3.1 8.3 8.5 6.7 g cm⁻³.
For each record above, in turn, the calculated volume values are 17.0 24.2 17.1 34.5 22.1 19.3 13.8 17.9 29.7 26.5 33.4 13.7 22.2 29.9 21.6 17.4 39.0 19.5 15.6 36.4 19.4 17.4 22.1 31.5 29.5 Å³ per atom.